# 1
This record from Alexandria describes an optimized crystal structure of K2CaFe. The functional is PBE.

Lattice parameters (Å, degrees): 4.4345 5.4432 6.3912 90.00 90.00 90.00
Last column: magnetic moment on the atom in μB.
Element x y z (fractional)
Ca 0.5000 0.0000 0.5000  -0.05
K 0.5000 0.5000 0.0000  -0.01
K 0.0000 0.0000 0.0000  -0.01
Fe 0.0000 0.5000 0.5000  3.08

Calculated values
- energy above the lowest structure with this stoichiometry (eV/atom) = 0.239
- formation enthalpy at 0 K (eV/atom) = 0.817
- calculated density (g cm⁻³) = 1.874
- space group = Pmmm

---

# 2
This record from Alexandria describes an optimized crystal structure of CeTi3H. The functional is PBE.

Lattice parameters (Å, degrees): 4.2926 4.2926 4.2926 90.00 90.00 90.00
Element x y z (fractional)
Ti 0.0000 0.0000 0.5000
Ti 0.0000 0.5000 0.0000
Ti 0.5000 0.0000 0.0000
Ce 0.5000 0.5000 0.5000
H 0.0000 0.0000 0.0000

Calculated values
- uncorrected energy (eV/atom) = -6.53
- calculated density (g cm⁻³) = 5.977
- space group = Pm-3m

---

# 3
This record from Alexandria describes an optimized crystal structure of NpH4Pd. The functional is PBE.

Lattice parameters (Å, degrees): 3.7055 5.1251 6.2995 90.00 107.12 90.00
Last column: magnetic moment on the atom in μB.
Element x y z (fractional)
H 0.4142 0.2500 0.8287  -0.01
H 0.2018 0.0197 0.4031  -0.01
H 0.5858 0.7500 0.1713  -0.01
H 0.7982 0.9803 0.5969  -0.01
H 0.2018 0.4803 0.4031  -0.01
H 0.0000 0.0000 0.0000  -0.01
H 0.0000 0.5000 0.0000  -0.01
H 0.7982 0.5197 0.5969  -0.01
Pd 0.0964 0.7500 0.1924  0.07
Pd 0.9036 0.2500 0.8076  0.07
Np 0.6395 0.2500 0.2786  3.94
Np 0.3605 0.7500 0.7214  3.94

Calculated values
- uncorrected energy (eV/atom) = -5.42
- calculated density (g cm⁻³) = 10.093
- space group = Cmcm

---

# 4
This record from Alexandria describes an optimized crystal structure of Cs3Nd3SnS8. The functional is PBE.

Lattice parameters (Å, degrees): 8.2789 8.2803 9.5545 115.71 90.00 119.99
Element x y z (fractional)
Nd 0.5000 0.0000 0.5000
Nd 0.0000 0.5000 0.5000
Nd 0.5000 0.5000 0.5000
S 0.7283 0.4567 0.6848
S 0.2137 0.4274 0.6774
S 0.7502 0.9639 0.6773
S 0.2717 0.5433 0.3152
S 0.7863 0.5726 0.3226
S 0.2498 0.0361 0.3227
S 0.2136 0.9639 0.6773
S 0.7864 0.0361 0.3227
Cs 0.5000 0.5000 0.0000
Cs 0.0000 0.0000 0.0000
Cs 0.0000 0.5000 0.0000
Sn 0.0000 0.0000 0.5000

Calculated values
- calculated density (g cm⁻³) = 4.081
- space group = R-3m
- formation energy from raw total energies (eV/atom) = -1.505

---

| no. | total magnetic moment (μB per atom) |
| --- | --- |
| 1 | 0.70 |
| 2 | 0.00 |
| 3 | 0.71 |
| 4 | 0.00 |